First-principles (GGA-PBE) data for a relaxed structure of GaPC2, as listed in the Alexandria database.

## Properties
The formation energy from the elements comes out at 2153 meV per atom. As for the symmetry: No. 225. As for the energy above the lowest structure with this stoichiometry: 1961 meV per atom.

The structure in POSCAR format:
```
GaPC2
1.0
0.000 2.752 2.752
2.752 0.000 2.752
2.752 2.752 0.000
Ga P C
1 1 2
direct
0.000 0.000 0.000
0.500 0.500 0.500
0.250 0.250 0.250
0.750 0.750 0.750
```



First-principles (GGA-PBE) data for a relaxed structure of SrNb3Re, as listed in the Alexandria database.

## Properties
The formation energy from the elements comes out at 2940 meV per atom. As for the symmetry: No. 221. As for the energy above the lowest structure with this stoichiometry: 2047 meV per atom.

The structure in POSCAR format:
```
SrNb3Re
1.0
4.729 0.000 0.000
0.000 4.729 0.000
0.000 0.000 4.729
Sr Nb Re
1 3 1
direct
0.000 0.000 0.000
0.000 0.000 0.500
0.000 0.500 0.000
0.500 0.000 0.000
0.500 0.500 0.500
```



First-principles (GGA-PBE) data for a relaxed structure of IrSeF, as listed in the Alexandria database.

## Properties
Its formation energy from raw total energies is -2.09 eV per formula unit. As for the symmetry: No. 12.

The structure in POSCAR format:
```
IrSeF
1.0
5.858 -1.758 0.000
5.858 1.758 0.000
-2.561 0.000 5.735
Ir Se F
2 2 2
direct
0.248 0.248 0.246
0.752 0.752 0.754
0.363 0.363 0.664
0.637 0.637 0.336
0.155 0.155 0.859
0.845 0.845 0.141
```



Number 1: total moment 0.0 μB/f.u., VASP energy -0.168 Ha/atom. Number 2: total moment 0.0 μB/f.u., VASP energy -0.218 Ha/atom. Number 3: total moment 0.0 μB/f.u., VASP energy -0.200 Ha/atom.